1.
Below is a relaxed Zr5W3 crystal, with properties calculated at the GGA-PBE level.

```
16
Lattice="5.4385 0.0095 -0.0095 2.7329 7.7486 0.0187 -2.7329 0.0187 7.7487" Properties=species:S:1:pos:R:3 pbc="T T T"
W 2.5692 3.8919 1.2208
W 5.2888 6.5549 3.8746
W 2.8725 3.8859 6.5440
W 0.1537 1.2222 3.8902
W 4.0789 7.7660 7.7556
W 1.3597 0.0093 0.0083
Zr 2.6861 6.6327 2.3349
Zr 1.3609 3.8307 3.8291
Zr 2.7546 1.1450 5.4300
Zr 0.0352 2.3361 6.6314
Zr 4.0801 3.9460 3.9351
Zr 2.7409 1.1460 2.3116
Zr 2.6998 6.6309 5.4518
Zr 5.4051 5.4407 1.1342
Zr 5.4192 2.3229 1.1346
Zr 0.0218 5.4536 6.6289
```

The space group is C2/c (15). For the total energy, the calculation gives -0.36546 hartree per atom. The formation energy is 0.255 eV per atom. The value obtained for the density of states at the Fermi level is 18.27 states/eV/cell. Its crystal system is monoclinic.

=====

2.
Below is a relaxed Zr3W2 crystal, with properties calculated at the GGA-PBE level.

```
5
Lattice="11.5451 -1.5907 0.0032 11.5451 1.5907 0.0032 11.3251 0.0000 2.7497" Properties=species:S:1:pos:R:3 pbc="T T T"
W 20.7416 0.0000 1.6610
W 13.6737 0.0000 1.0950
Zr 27.3264 0.0000 2.1883
Zr 0.0000 0.0000 0.0000
Zr 7.0889 0.0000 0.5677
```

The space group is R-3m (166). For the total energy, the calculation gives -0.36377 hartree per atom. The formation energy is 0.412 eV per atom. The value obtained for the density of states at the Fermi level is 6.15 states/eV/cell. Its crystal system is trigonal.

=====

3.
Below is a relaxed ZrW2 crystal, with properties calculated at the GGA-PBE level.

```
3
Lattice="-0.4087 0.3201 -2.8121 -0.1159 -2.7572 0.7495 -6.6297 1.7985 2.0989" Properties=species:S:1:pos:R:3 pbc="T T T"
W -2.6697 -1.0160 -0.6584
W -4.4846 0.3774 0.6947
Zr 0.0000 0.0000 0.0000
```

The space group is Fmmm (69). For the total energy, the calculation gives -0.41750 hartree per atom. The formation energy is 0.124 eV per atom. The value obtained for the density of states at the Fermi level is 3.03 states/eV/cell. Its crystal system is orthorhombic.

=====

4.
Below is a relaxed ZrW2 crystal, with properties calculated at the GGA-PBE level.

```
3
Lattice="3.6588 0.0000 0.0000 0.0000 3.6588 0.0000 0.0000 0.0000 4.7690" Properties=species:S:1:pos:R:3 pbc="T T T"
Zr 0.0000 0.0000 0.0000
W 0.0000 1.8294 2.3845
W 1.8294 0.0000 2.3845
```

The space group is P4/mmm (123). For the total energy, the calculation gives -0.39421 hartree per atom. The formation energy is 0.758 eV per atom. The value obtained for the density of states at the Fermi level is 1.34 states/eV/cell. Its crystal system is tetragonal.

=====

5.
Below is a relaxed Zr8W crystal, with properties calculated at the GGA-PBE level.

```
9
Lattice="-4.6079 4.6079 2.3564 4.6079 -4.6079 2.3564 4.6079 4.6079 -2.3564" Properties=species:S:1:pos:R:3 pbc="T T T"
Zr 2.9883 0.0000 0.0000
Zr 1.4951 1.4951 2.3564
Zr 1.4951 -1.4951 2.3564
Zr -1.4951 1.4951 2.3564
Zr 0.0000 6.2276 0.0000
Zr 6.2276 0.0000 0.0000
Zr 3.1129 3.1129 0.0000
Zr 0.0000 2.9883 0.0000
W 0.0000 0.0000 0.0000
```

The space group is I4/mmm (139). For the total energy, the calculation gives -0.32622 hartree per atom. The formation energy is 0.161 eV per atom. The value obtained for the density of states at the Fermi level is 15.85 states/eV/cell. Its crystal system is tetragonal.

=====

6.
Below is a relaxed ZrW8 crystal, with properties calculated at the GGA-PBE level.

```
9
Lattice="-4.0585 4.0585 2.3335 4.0585 -4.0585 2.3335 4.0585 4.0585 -2.3335" Properties=species:S:1:pos:R:3 pbc="T T T"
W 0.0000 5.3475 0.0000
W -1.3970 1.3970 2.3335
W 1.3970 1.3970 2.3335
W 2.7696 0.0000 0.0000
W 1.3970 -1.3970 2.3335
W 0.0000 2.7696 0.0000
W 2.6615 2.6615 0.0000
W 5.3475 0.0000 0.0000
Zr 0.0000 0.0000 0.0000
```

The space group is I4/mmm (139). For the total energy, the calculation gives -0.44522 hartree per atom. The formation energy is 0.349 eV per atom. The value obtained for the density of states at the Fermi level is 4.76 states/eV/cell. Its crystal system is tetragonal.

=====

7.
Below is a relaxed Zr5W3 crystal, with properties calculated at the GGA-PBE level.

```
8
Lattice="-5.8297 0.5120 -1.1541 0.7537 -4.0134 4.3479 -0.3362 3.4206 3.2157" Properties=species:S:1:pos:R:3 pbc="T T T"
W -4.4360 1.1487 1.7590
W -2.5380 -1.7507 1.5969
W -0.9762 -1.2295 4.6505
Zr 0.3769 -2.0067 2.1739
Zr -1.5449 0.7606 2.4741
Zr -2.9148 0.2560 -0.5770
Zr 0.0000 0.0000 0.0000
Zr -3.8673 -0.8414 3.9354
```

The space group is Cmmm (65). For the total energy, the calculation gives -0.36706 hartree per atom. The formation energy is 0.212 eV per atom. The value obtained for the density of states at the Fermi level is 12.64 states/eV/cell. Its crystal system is orthorhombic.

=====

8.
Below is a relaxed Zr3W5 crystal, with properties calculated at the GGA-PBE level.

```
8
Lattice="-2.8512 0.6849 -4.9509 -3.7110 0.2188 4.3922 0.6080 4.5914 0.2850" Properties=species:S:1:pos:R:3 pbc="T T T"
Zr -3.2811 0.4519 -0.2794
Zr -2.7642 2.8629 -2.4496
Zr -3.1899 2.6322 2.1758
W -4.7413 2.9905 -0.2871
W -1.4256 0.3425 -2.4755
W -1.2128 2.5046 0.0134
W 0.0000 0.0000 0.0000
W -1.8555 0.1094 2.1961
```

The space group is Cmmm (65). For the total energy, the calculation gives -0.40852 hartree per atom. The formation energy is 0.185 eV per atom. The value obtained for the density of states at the Fermi level is 11.22 states/eV/cell. Its crystal system is orthorhombic.

=====

9.
Below is a relaxed Zr3W4 crystal, with properties calculated at the GGA-PBE level.

```
7
Lattice="2.7923 -4.8363 0.0000 2.7923 4.8363 0.0000 0.0000 0.0000 4.9841" Properties=species:S:1:pos:R:3 pbc="T T T"
Zr 1.3961 -2.4182 0.0000
Zr 1.3961 2.4182 0.0000
Zr 2.7923 0.0000 0.0000
W 2.7923 -1.6121 2.4920
W 0.0000 0.0000 1.2262
W 2.7923 1.6121 2.4920
W 0.0000 0.0000 3.7579
```

The space group is P6/mmm (191). For the total energy, the calculation gives -0.38166 hartree per atom. The formation energy is 0.680 eV per atom. The value obtained for the density of states at the Fermi level is 4.94 states/eV/cell. Its crystal system is hexagonal.

=====

10.
Below is a relaxed Zr5W3 crystal, with properties calculated at the GGA-PBE level.

```
16
Lattice="8.1412 0.0000 0.0000 4.0706 7.0505 0.0000 0.0000 0.0000 5.7708" Properties=species:S:1:pos:R:3 pbc="T T T"
Zr 7.1227 1.7640 1.4427
Zr 8.1412 4.7003 2.8854
Zr 3.0521 5.2865 1.4427
Zr 8.1412 4.7003 0.0000
Zr 5.0892 5.2864 4.3281
Zr 1.0185 1.7641 4.3281
Zr 4.0706 2.3502 0.0000
Zr 6.1042 0.0000 4.3281
Zr 2.0371 0.0000 1.4427
Zr 4.0706 2.3502 2.8854
W 3.2185 0.0000 4.3281
W 1.6093 2.7873 1.4427
W 5.6800 4.2632 1.4427
W 2.4614 4.2632 4.3281
W 6.5319 2.7873 4.3281
W 4.9227 0.0000 1.4427
```

The space group is P6_3/mcm (193). For the total energy, the calculation gives -0.36527 hartree per atom. The formation energy is 0.260 eV per atom. The value obtained for the density of states at the Fermi level is 19.36 states/eV/cell. Its crystal system is hexagonal.

=====

11.
Below is a relaxed ZrW2 crystal, with properties calculated at the GGA-PBE level.

```
6
Lattice="5.6625 7.1875 4.2733 1.9596 6.5742 7.4112 -2.5264 -8.5951 -4.6613" Properties=species:S:1:pos:R:3 pbc="T T T"
Zr 0.0000 0.0000 0.0000
Zr 3.4736 2.7367 2.7271
W 4.4150 7.9712 6.7680
W 3.2072 5.7906 4.9165
W 1.0183 1.3397 3.3703
W 2.2260 3.5203 5.2218
```

The space group is I4_1/amd (141). For the total energy, the calculation gives -0.39648 hartree per atom. The formation energy is 0.696 eV per atom. The value obtained for the density of states at the Fermi level is 2.79 states/eV/cell. Its crystal system is tetragonal.

=====

12.
Below is a relaxed ZrW2 crystal, with properties calculated at the GGA-PBE level.

```
6
Lattice="-0.2140 -4.7475 -2.4467 -4.5020 2.6334 1.1700 2.5249 3.1732 -3.4823" Properties=species:S:1:pos:R:3 pbc="T T T"
W -0.9422 3.4899 -2.2984
W 0.5612 0.2358 -2.4633
W -2.7522 0.8233 -2.2958
W -1.2488 -2.4308 -2.4607
Zr -3.5370 -1.5856 -0.9576
Zr -1.1790 -0.5285 -0.3192
```

The space group is I4/mcm (140). For the total energy, the calculation gives -0.38002 hartree per atom. The formation energy is 1.144 eV per atom. The value obtained for the density of states at the Fermi level is 7.21 states/eV/cell. Its crystal system is tetragonal.

=====

Question: Number 8 is which compound?
Answer: Zr3W5